Entry 1:
CaTi2HgC after structural relaxation. Source: the Alexandria database, functional PBE.

Cell: 4.277 4.277 5.233 Å, 90.00 90.00 90.00°
Sites, in units of the cell vectors:
1 Ca 0.000 0.000 0.000
2 Ti 0.000 0.500 0.500
3 Ti 0.500 0.000 0.500
4 Hg 0.500 0.500 0.000
5 C 0.500 0.500 0.500

Output
* final energy: -26.27 eV for the cell shown
* total moment: 0.8 μB/f.u.
* formation energy from the elements: 1.0 eV/f.u.
* symmetry: No. 123

=====

Entry 2:
Y2ScTc after structural relaxation. Source: the Alexandria database, functional PBE.

Cell: 6.132 6.132 6.132 Å, 146.42 129.29 62.20°
Sites, in units of the cell vectors:
1 Y 0.000 0.000 0.000
2 Y 0.704 0.204 0.500
3 Sc 0.302 0.802 0.500
4 Tc 0.487 0.487 0.000

Output
* final energy: -29.73 eV for the cell shown
* total moment: 0.0 μB/f.u.
* formation energy from the elements: -0.1 eV/f.u.
* symmetry: No. 44

=====

Entry 3:
BeClF3 after structural relaxation. Source: the Alexandria database, functional PBE.

Cell: 4.325 4.325 4.325 Å, 90.00 90.00 90.00°
Sites, in units of the cell vectors:
1 Be 0.000 0.000 0.000
2 Cl 0.500 0.500 0.500
3 F 0.000 0.500 0.500
4 F 0.500 0.000 0.500
5 F 0.500 0.500 0.000

Output
* energy relative to the elements, uncorrected: 158 meV per atom
* final energy: -10.40 eV for the cell shown
* total moment: 1.0 μB/f.u.
* symmetry: No. 221

=====

Entry 4:
GaRe2N after structural relaxation. Source: the Alexandria database, functional PBE.

Cell: 7.232 7.232 7.232 Å, 25.35 25.35 25.35°
Sites, in units of the cell vectors:
1 Ga 0.000 0.000 0.000
2 Re 0.118 0.118 0.118
3 Re 0.882 0.882 0.882
4 N 0.500 0.500 0.500

Output
* energy relative to the elements, uncorrected: 740 meV per atom
* final energy: -33.29 eV for the cell shown
* total moment: 0.0 μB/f.u.
* symmetry: No. 166

=====

Number 3 is which compound? BeClF3

=====

Among the records above, which one has the highest final energy? BeClF3